A relaxed structure of Ru3Au. Source: Alexandria via LeMat-Bulk, functional PBEsol.

The value obtained for the density of states at the Fermi level is 1.61 states/eV/atom. Its energy above the most stable polymorph in this dataset is 2894 meV per atom. The formation energy comes out at 3.3183 eV/atom. For the spin magnetization, the calculation gives 6.6 Bohr magnetons per cell.

The space group is Pm-3m (No. 221) and the conventional cell measures 4.870, 4.870 and 4.870 Å, with angles of 90.00, 90.00 and 90.00 degrees. The distinct sites, in fractional coordinates, are Ru at (0.000, 0.000, 0.500) and Au at (0.000, 0.000, 0.000).